(1)
{
  "formula": "DyTm3Th4",
  "functional": "PBE",
  "state": "optimized geometry",
  "lattice_angstrom": [[-3.0180, -0.0665, -1.5877], [2.5767, -10.0551, -4.4767], [-2.4494, 2.0642, 8.2332]],
  "species": ["Th", "Th", "Th", "Th", "Dy", "Tm", "Tm", "Tm"],
  "frac_coords": [[0.6299, 0.3824, 0.2599], [0.3702, 0.1223, 0.7404], [0.3701, 0.6176, 0.7401], [0.6298, 0.8777, 0.2596], [0.5000, 0.0000, 0.0000], [0.7653, 0.7654, 0.5306], [0.2347, 0.2346, 0.4694], [0.0000, 0.5000, 0.0000]],
  "volume_a3_per_fu": 253.3,
  "delta_e_f_ev_per_fu": 1.12,
  "space_group": "No. 71"
}



(2)
{
  "formula": "LiNdBeGe2",
  "functional": "PBE",
  "state": "optimized geometry",
  "lattice_angstrom": [[4.1344, 0.0000, 0.0000], [0.0000, 4.1344, 0.0000], [-2.0672, -2.0672, 5.1149]],
  "species": ["Li", "Ge", "Ge", "Nd", "Be"],
  "frac_coords": [[0.7500, 0.2500, 0.5000], [0.3760, 0.3760, 0.7520], [0.6240, 0.6240, 0.2480], [0.0000, 0.0000, 0.0000], [0.2500, 0.7500, 0.5000]],
  "volume_a3_per_fu": 87.4,
  "delta_e_f_ev_per_fu": -2.33,
  "space_group": "No. 119"
}



(3)
{
  "formula": "BaTl2GaSb2",
  "functional": "PBE",
  "state": "optimized geometry",
  "lattice_angstrom": [[4.7431, 0.0000, 0.0000], [0.0000, 8.4300, 0.0000], [0.0000, 0.0000, 9.9094]],
  "species": ["Ga", "Ga", "Sb", "Sb", "Sb", "Sb", "Ba", "Ba", "Tl", "Tl", "Tl", "Tl"],
  "frac_coords": [[0.5000, 0.1540, 0.6682], [0.5000, 0.6540, 0.3318], [0.0000, 0.7018, 0.1711], [0.0000, 0.2018, 0.8289], [0.5000, 0.8105, 0.6020], [0.5000, 0.3105, 0.3980], [0.0000, 0.0063, 0.4080], [0.0000, 0.5063, 0.5920], [0.0000, 0.8315, 0.8370], [0.5000, 0.5415, 0.9466], [0.5000, 0.0415, 0.0534], [0.0000, 0.3315, 0.1630]],
  "volume_a3_per_fu": 198.1,
  "space_group": "No. 26",
  "raw_formation_energy_ev_per_fu": -2.00
}



(4)
{
  "formula": "BaLi2Ag",
  "functional": "PBE",
  "state": "optimized geometry",
  "lattice_angstrom": [[-2.0495, 0.9915, 4.5497], [-3.6357, -3.4466, -0.8866], [2.7284, -8.1371, 5.8468]],
  "species": ["Li", "Li", "Li", "Li", "Ba", "Ba", "Ag", "Ag"],
  "frac_coords": [[0.3798, 0.1250, 0.2500], [0.8750, 0.6298, 0.7500], [0.3750, 0.6202, 0.7500], [0.3702, 0.6250, 0.2500], [0.0000, 0.0000, 0.0000], [0.7500, 0.2500, 0.5000], [0.2500, 0.7500, 0.5000], [0.5000, 0.5000, 0.0000]],
  "volume_a3_per_fu": 126.1,
  "delta_e_f_ev_per_fu": 0.05,
  "space_group": "No. 122"
}



(5)
{
  "formula": "FeSb2SeI",
  "functional": "PBE",
  "state": "optimized geometry",
  "lattice_angstrom": [[5.4067, 0.0000, 0.0000], [0.0000, 5.4067, 0.0000], [0.0000, 0.0000, 5.7220]],
  "species": ["I", "Sb", "Sb", "Fe", "Se"],
  "frac_coords": [[0.0000, 0.0000, 0.5000], [0.5000, 0.0000, 0.0000], [0.0000, 0.5000, 0.0000], [0.5000, 0.5000, 0.5000], [0.0000, 0.0000, 0.0000]],
  "volume_a3_per_fu": 167.3,
  "space_group": "No. 123",
  "raw_formation_energy_ev_per_fu": 5.71
}



(6)
{
  "formula": "NbGeAs2",
  "functional": "PBE",
  "state": "optimized geometry",
  "lattice_angstrom": [[-4.9891, -0.7747, -1.4515], [2.5555, -4.6349, -0.8825], [-1.3668, 0.5314, 5.8748]],
  "species": ["Nb", "Nb", "Ge", "Ge", "As", "As", "As", "As"],
  "frac_coords": [[0.3074, 0.5733, 0.8780], [0.0935, 0.6377, 0.4553], [0.9732, 0.1033, 0.4736], [0.9248, 0.2278, 0.0000], [0.5401, 0.4814, 0.4361], [0.4276, 0.1075, 0.8579], [0.4675, 0.9633, 0.3226], [0.8573, 0.7184, 0.8796]],
  "volume_a3_per_fu": 75.7,
  "delta_e_f_ev_per_fu": -0.57,
  "space_group": "No. 1"
}